# 1
First-principles (GGA-PBE) data for crystalline GdDy2ErTl2 at its relaxed geometry, as listed in OQMD via LeMat-Bulk.

Geometry as extended XYZ:
```
6
Lattice="5.3962 0.0000 0.0000 -2.6981 4.6732 0.0000 0.0000 0.0000 6.7013" Properties=species:S:1:pos:R:3 pbc="T T T"
Dy 0.0000 0.0000 1.6487
Dy 0.0000 0.0000 5.0526
Er 2.6981 1.5577 0.0000
Gd 0.0000 3.1155 3.3507
Tl 0.0000 3.1155 0.0000
Tl 2.6981 1.5577 3.3507
```

# 2
First-principles (GGA-PBE) data for crystalline Er2Cu2Ag at its relaxed geometry, as listed in OQMD via LeMat-Bulk.

Geometry as extended XYZ:
```
10
Lattice="4.4002 0.0000 0.0000 -2.2001 3.8107 0.0000 0.0000 0.0000 12.4346" Properties=species:S:1:pos:R:3 pbc="T T T"
Ag 0.0000 0.0000 3.1087
Ag 0.0000 0.0000 9.3260
Cu 0.0000 0.0000 0.0000
Cu 0.0000 2.5404 3.1087
Cu 0.0000 0.0000 6.2173
Cu 2.2001 1.2702 9.3260
Er 2.2001 1.2702 1.3737
Er 2.2001 1.2702 4.8436
Er 0.0000 2.5404 7.5910
Er 0.0000 2.5404 11.0609
```

Energy of formation from the pure elements: -0.7 eV/f.u.

# 3
First-principles (GGA-PBE) data for crystalline SrErTe2AuSe at its relaxed geometry, as listed in OQMD via LeMat-Bulk.

Geometry as extended XYZ:
```
12
Lattice="-5.9950 2.5354 -4.0712 2.5276 -4.1566 5.9394 -0.6366 8.6496 6.3242" Properties=species:S:1:pos:R:3 pbc="T T T"
Au 2.1241 -1.8023 7.2334
Au -6.2281 8.8307 0.9591
Er -1.7337 -0.8106 0.9341
Er -2.0520 3.5142 4.0962
Se -1.1942 0.8032 3.3358
Se -2.9098 6.2251 4.8567
Sr -4.0923 3.0788 -0.0683
Sr -0.0117 3.9496 8.2607
Te 1.2386 -2.7219 4.7920
Te 0.9863 0.7060 7.2983
Te -5.0903 6.3224 0.8942
Te -5.3426 9.7503 3.4005
```

# 4
First-principles (GGA-PBE) data for crystalline SmYGeI2 at its relaxed geometry, as listed in OQMD via LeMat-Bulk.

Geometry as extended XYZ:
```
5
Lattice="-0.1230 -0.0945 -4.2867 3.6194 -1.0183 2.0648 -3.1134 -10.4198 0.3189" Properties=species:S:1:pos:R:3 pbc="T T T"
Ge -1.5673 -5.2453 0.1605
I 1.8560 -2.4370 0.0005
I -1.4576 -9.0439 -1.9051
Sm 0.0205 -4.0971 -2.0565
Y 0.3576 -7.4517 0.1539
```

# 5
First-principles (GGA-PBE) data for crystalline MgCdAg at its relaxed geometry, as listed in OQMD via LeMat-Bulk.

Geometry as extended XYZ:
```
12
Lattice="6.4601 0.0000 0.0000 0.0000 3.9758 0.0000 0.0000 0.0000 9.0583" Properties=species:S:1:pos:R:3 pbc="T T T"
Ag 4.0513 0.9939 0.8089
Ag 0.8212 0.9939 3.7203
Ag 5.6389 2.9819 5.3380
Ag 2.4088 2.9819 8.2494
Cd 0.8762 0.9939 0.7308
Cd 4.1063 0.9939 3.7983
Cd 2.3538 2.9819 5.2600
Cd 5.5839 2.9819 8.3275
Mg 2.4938 2.9819 2.2135
Mg 5.7239 2.9819 2.3156
Mg 0.7362 0.9939 6.7427
Mg 3.9663 0.9939 6.8448
```

Polymorph energy (0 for the lowest one): 0 meV/atom

# 6
First-principles (GGA-PBE) data for crystalline NaPbAu at its relaxed geometry, as listed in OQMD via LeMat-Bulk.

Geometry as extended XYZ:
```
3
Lattice="1.3538 -0.5635 4.5787 -3.0296 1.1277 3.5587 -1.9645 -3.4769 2.6771" Properties=species:S:1:pos:R:3 pbc="T T T"
Au -0.9101 -0.7282 2.7036
Na 0.0000 0.0000 0.0000
Pb -2.7302 -2.1845 8.1109
```

Record-wise final energy values, in eV/atom: -4.1171; -4.0108; -4.4649; -5.0117; -1.9030; -2.6386